HoAgMoO5: optimized geometry, GGA+U.

a = 6.2645 Å, b = 6.2645 Å, c = 8.4213 Å
α = 109.19°, β = 109.19°, γ = 93.19°
Closest atoms and distances in Å follow each position.
Atoms (fractional coordinates):
O 0.7448 0.2355 0.4167  1 Mo 1.79
O 0.6712 0.7172 0.8545  1 Mo 1.81
O 0.2552 0.7645 0.5833  1 Mo 1.79
O 0.9371 0.0629 0.7500  1 Ag 2.13, 2 Ho 2.18
O 0.0629 0.9371 0.2500  1 Ag 2.13, 2 Ho 2.18
O 0.2355 0.7448 0.9167  1 Mo 1.79
O 0.2828 0.3288 0.6455  1 Mo 1.81
O 0.3288 0.2828 0.1455  1 Mo 1.81
O 0.7172 0.6712 0.3545  1 Mo 1.81
O 0.7645 0.2552 0.0833  1 Mo 1.79
Mo 0.3612 0.6388 0.7500  4 O 1.79-1.81
Mo 0.6388 0.3612 0.2500  4 O 1.79-1.81
Ag 0.2970 0.7030 0.2500  1 O 2.13
Ag 0.7030 0.2970 0.7500  1 O 2.13
Ho 0.0000 0.0000 0.5000  6 O 2.18-2.33
Ho 0.0000 0.0000 0.0000  6 O 2.18-2.33

- E: -109.2 eV for the cell shown
- Mass density: 5.1 g cm⁻³
- Size of the total moment: 0.00 μB per formula unit
- Space-group type: C2/c, No. 15